Mg6CrCoO8 | GGA+U | optimized geometry

N(E_F) in states/eV per cell: 1.48
SG: P4/mmm, No. 123
VASP energy in eV per atom: -6.192
Spin magnetization in μB per formula unit: 6.30

Cell lengths 4.2858, 4.2858, 8.5275 Å; angles 90.00, 90.00, 90.00 degrees
Site moments in Bohr magnetons follow the coordinates.
Sites, in units of the cell vectors:
Mg (0.5000, 0.0000, 0.2492)  0.00
Mg (0.0000, 0.0000, 0.5000)  0.00
Mg (0.0000, 0.5000, 0.2492)  0.00
Mg (0.5000, 0.5000, 0.5000)  0.00
Mg (0.0000, 0.5000, 0.7508)  0.00
Mg (0.5000, 0.0000, 0.7508)  0.00
O (0.0000, 0.5000, 0.0000)  0.05
O (0.5000, 0.0000, 0.5000)  0.00
O (0.0000, 0.0000, 0.2579)  0.03
O (0.5000, 0.0000, 0.0000)  0.05
O (0.5000, 0.5000, 0.7536)  -0.01
O (0.0000, 0.0000, 0.7421)  0.03
O (0.5000, 0.5000, 0.2464)  -0.01
O (0.0000, 0.5000, 0.5000)  0.00
Co (0.0000, 0.0000, 0.0000)  2.50
Cr (0.5000, 0.5000, 0.0000)  3.53